The following is a DFT calculation (PBE) of a relaxed structure of BaPrSe.

## Properties
- total DFT energy (no corrections) (eV per atom) = -4.092
- theoretical density (kg/m3) = 2978
- ΔE_f (raw) (eV per atom) = -0.696

Unit cell a=4.3858 b=4.3858 c=47.8212 alpha=90.00 beta=90.00 gamma=120.00
Site moments in Bohr magnetons follow the coordinates.
Positions (direct):
1 Ba 0.6667 0.3333 0.9616  0.06
2 Ba 0.3333 0.6667 0.0384  0.06
3 Ba 0.3333 0.6667 0.8774  0.04
4 Ba 0.6667 0.3333 0.1226  0.04
5 Se 0.6667 0.3333 0.3232  0.00
6 Se 0.6667 0.3333 0.8397  0.01
7 Se 0.3333 0.6667 0.1603  0.01
8 Se 0.3333 0.6667 0.6768  0.00
9 Pr 0.6667 0.3333 0.7041  -0.01
10 Pr 0.3333 0.6667 0.2959  -0.01
11 Pr 0.3333 0.6667 0.2182  -0.03
12 Pr 0.6667 0.3333 0.7818  -0.03

=====

The following is a DFT calculation (PBE) of a relaxed structure of Al8Zn3Ir2.

## Properties
- total DFT energy (no corrections) (eV per atom) = -4.313
- theoretical density (kg/m3) = 6008
- calculated formation energy (eV per atom) = -0.352

Unit cell a=7.3781 b=7.3781 c=4.3581 alpha=90.00 beta=90.00 gamma=111.89
Positions (direct):
1 Al 0.6682 0.3318 0.0000
2 Al 0.3318 0.6682 0.0000
3 Al 0.1151 0.8849 0.0000
4 Al 0.8849 0.1151 0.0000
5 Al 0.1514 0.4172 0.5000
6 Al 0.5828 0.8486 0.5000
7 Al 0.4172 0.1514 0.5000
8 Al 0.8486 0.5828 0.5000
9 Zn 0.0000 0.0000 0.5000
10 Zn 0.6963 0.6963 0.0000
11 Zn 0.3037 0.3037 0.0000
12 Ir 0.2169 0.7831 0.5000
13 Ir 0.7831 0.2169 0.5000

=====

The following is a DFT calculation (PBE) of a relaxed structure of NbHgP2S.

## Properties
- total DFT energy (no corrections) (eV per atom) = -3.622
- theoretical density (kg/m3) = 5548
- ΔE_f (raw) (eV per atom) = 1.442

Unit cell a=4.8620 b=4.8620 c=4.9066 alpha=90.00 beta=90.00 gamma=90.00
Site moments in Bohr magnetons follow the coordinates.
Positions (direct):
1 S 0.0000 0.0000 0.5000  -0.17
2 P 0.0000 0.5000 0.0000  -0.19
3 P 0.5000 0.0000 0.0000  -0.19
4 Nb 0.5000 0.5000 0.5000  2.06
5 Hg 0.0000 0.0000 0.0000  -0.01